No. 1
Entry from Alexandria via LeMat-Bulk: a relaxed structure of ZrTi2VCd (PBE).

The structure in POSCAR format:
```
ZrTi2VCd
1.0
4.910 0.000 0.000
0.000 4.835 0.000
0.000 0.000 4.910
V Ti Zr Cd
1 2 1 1
direct
0.000 0.500 0.000
0.000 0.000 0.500
0.500 0.000 0.000
0.500 0.500 0.500
0.000 0.000 0.000
```

Values from the calculation:
E_form ... 6.95 eV/f.u.
Space-group type ... P4/mmm, No. 123
Total energy ... -5.48 eV per atom

---

No. 2
Entry from Alexandria via LeMat-Bulk: a relaxed structure of Ti2Cd2W (PBE).

The structure in POSCAR format:
```
Ti2Cd2W
1.0
-2.155 -2.820 -0.767
2.617 -1.437 -2.068
2.993 -5.904 4.703
Ti W Cd
2 1 2
direct
0.417 0.417 0.166
0.583 0.583 0.834
0.000 0.000 0.000
0.750 0.250 0.500
0.250 0.750 0.500
```

Values from the calculation:
E_form ... 3.26 eV/f.u.
Space-group type ... I4/mmm, No. 139
Total energy ... -5.46 eV per atom

---

No. 3
Entry from Alexandria via LeMat-Bulk: a relaxed structure of Ti3CdW (PBE).

The structure in POSCAR format:
```
Ti3CdW
1.0
4.811 0.000 0.000
0.000 4.811 0.000
0.000 0.000 4.811
Ti W Cd
3 1 1
direct
0.000 0.500 0.000
0.000 0.000 0.500
0.500 0.000 0.000
0.000 0.000 0.000
0.500 0.500 0.500
```

Values from the calculation:
E_form ... 4.08 eV/f.u.
Space-group type ... Pm-3m, No. 221
Total energy ... -6.69 eV per atom

---

No. 4
Entry from Alexandria via LeMat-Bulk: a relaxed structure of TiCd3W (PBE).

The structure in POSCAR format:
```
TiCd3W
1.0
-3.714 1.535 3.242
-3.585 -1.431 -3.429
-0.121 -4.718 2.095
Ti W Cd
1 1 3
direct
0.500 0.500 0.500
0.000 0.000 0.000
0.000 0.500 0.000
0.000 0.000 0.500
0.500 0.000 0.000
```

Values from the calculation:
E_form ... 7.78 eV/f.u.
Space-group type ... Pm-3m, No. 221
Total energy ... -3.16 eV per atom

---

No. 5
Entry from Alexandria via LeMat-Bulk: a relaxed structure of TiCdW2 (PBE).

The structure in POSCAR format:
```
TiCdW2
1.0
-1.394 1.331 3.336
-2.999 -2.402 -0.295
2.912 -7.517 6.442
Ti W Cd
2 4 2
direct
0.500 0.500 0.000
0.250 0.750 0.500
0.606 0.125 0.250
0.144 0.625 0.250
0.375 0.394 0.750
0.875 0.856 0.750
0.000 0.000 0.000
0.750 0.250 0.500
```

Values from the calculation:
E_form ... 3.29 eV/f.u.
Space-group type ... I-42d, No. 122
Total energy ... -7.86 eV per atom

---

No. 6
Entry from Alexandria via LeMat-Bulk: a relaxed structure of TiCd4W2 (PBE).

The structure in POSCAR format:
```
TiCd4W2
1.0
5.303 0.000 0.000
0.000 5.303 0.000
2.651 2.651 6.804
Ti W Cd
1 2 4
direct
0.000 0.000 0.000
0.582 0.582 0.836
0.418 0.418 0.164
0.795 0.795 0.410
0.205 0.205 0.590
0.000 0.500 0.000
0.500 0.000 0.000
```

Values from the calculation:
E_form ... 9.32 eV/f.u.
Space-group type ... I4/mmm, No. 139
Total energy ... -4.02 eV per atom

---

No. 7
Entry from Alexandria via LeMat-Bulk: a relaxed structure of Ti2CdW (PBE).

The structure in POSCAR format:
```
Ti2CdW
1.0
3.367 0.000 0.000
0.000 4.498 0.000
0.000 0.000 4.498
Ti W Cd
2 1 1
direct
0.000 0.000 0.500
0.000 0.500 0.000
0.500 0.000 0.000
0.500 0.500 0.500
```

Values from the calculation:
E_form ... 0.42 eV/f.u.
Space-group type ... P4/mmm, No. 123
Total energy ... -7.31 eV per atom

---

No. 8
Entry from Alexandria via LeMat-Bulk: a relaxed structure of TiCd2W (PBE).

The structure in POSCAR format:
```
TiCd2W
1.0
-3.356 -1.586 2.861
-3.517 2.822 1.276
-4.322 -0.751 -1.648
Ti W Cd
1 1 2
direct
0.000 0.000 0.000
0.500 0.500 0.500
0.250 0.250 0.250
0.750 0.750 0.750
```

Values from the calculation:
E_form ... 2.53 eV/f.u.
Space-group type ... Fm-3m, No. 225
Total energy ... -5.04 eV per atom

---

Which value of total energy does entry 5 give? -7.86 eV per atom

---

Number 3 is which compound? Ti3CdW

---

The lowest E_form belongs to which entry? Ti2CdW